Version w
VASP calculation (PBE-GGA) on an optimized crystal structure of Y3TlCd.

```
Y3TlCd
1.0
-0.536 3.451 -4.411
-2.140 -4.221 -3.042
-5.175 1.388 1.715
Y Tl Cd
3 1 1
Direct
0.000 0.500 0.000
0.000 0.000 0.500
0.500 0.000 0.000
0.500 0.500 0.500
0.000 0.000 0.000
```

The mass density is 5.4 g/cm3. Its space group is No. 221.



Version x
VASP calculation (PBE-GGA) on an optimized crystal structure of Y3TlCd.

```
Y3TlCd
1.0
5.066 0.000 1.158
0.000 5.191 0.000
0.197 0.000 10.801
Y Tl Cd
6 2 2
Direct
0.764 0.250 0.121
0.383 0.250 0.882
0.574 0.250 0.500
0.265 0.750 0.118
0.885 0.750 0.879
0.074 0.750 0.500
0.668 0.750 0.312
0.980 0.250 0.688
0.478 0.750 0.692
0.170 0.250 0.308
```

The mass density is 6.9 g/cm3. Its space group is No. 63.



Most stable to least stable, the ends of the list are version x and version w.



Version w
VASP calculation (PBE-GGA) on an optimized crystal structure of TlZnCd4.

```
TlZnCd4
1.0
0.000 4.190 4.190
4.190 0.000 4.190
4.190 4.190 0.000
Tl Zn Cd
1 1 4
Direct
0.750 0.750 0.750
0.000 0.000 0.000
0.876 0.375 0.375
0.375 0.375 0.876
0.375 0.876 0.375
0.375 0.375 0.375
```

The mass density is 8.1 g/cm3. Its space group is No. 216.



Version x
VASP calculation (PBE-GGA) on an optimized crystal structure of TlZnCd4.

```
TlZnCd4
1.0
-2.136 1.405 4.572
4.623 -4.802 3.636
3.729 6.996 -3.429
Tl Zn Cd
2 2 8
Direct
0.207 0.206 0.411
0.793 0.794 0.589
0.740 0.500 0.000
0.260 0.500 0.000
0.821 0.322 0.644
0.622 0.338 0.240
0.000 0.183 0.000
0.378 0.099 0.760
0.179 0.678 0.356
0.378 0.662 0.760
0.000 0.817 0.000
0.622 0.901 0.240
```

The mass density is 8.2 g/cm3. Its space group is No. 12.



Most stable to least stable, the ends of the list are version x and version w.



Version w
VASP calculation (PBE-GGA) on an optimized crystal structure of TlZnCd3.

```
TlZnCd3
1.0
5.702 0.000 0.000
0.000 5.702 0.000
0.000 0.000 5.702
Tl Zn Cd
1 1 3
Direct
0.000 0.000 0.000
0.500 0.500 0.500
0.000 0.500 0.000
0.000 0.000 0.500
0.500 0.000 0.000
```

The mass density is 5.4 g/cm3. Its space group is No. 221.



Version x
VASP calculation (PBE-GGA) on an optimized crystal structure of TlZnCd3.

```
TlZnCd3
1.0
5.206 0.000 0.000
0.000 6.099 -2.552
0.000 -0.346 7.737
Tl Zn Cd
2 2 6
Direct
0.250 0.417 0.835
0.750 0.583 0.165
0.000 0.000 0.000
0.500 0.000 0.000
0.250 0.824 0.648
0.750 0.176 0.352
0.250 0.399 0.310
0.750 0.601 0.690
0.250 0.911 0.310
0.750 0.089 0.690
```

The mass density is 8.4 g/cm3. Its space group is No. 63.



Version y
VASP calculation (PBE-GGA) on an optimized crystal structure of TlZnCd3.

```
TlZnCd3
1.0
-2.684 1.161 4.243
-3.900 -2.928 -1.666
2.035 -4.078 2.404
Tl Zn Cd
1 1 3
Direct
0.500 0.500 0.500
0.000 0.000 0.000
0.000 0.500 0.000
0.000 0.000 0.500
0.500 0.000 0.000
```

The mass density is 7.4 g/cm3. Its space group is No. 221.



Most stable to least stable, the ends of the list are version x and version w.